Record 1
DFT (PBE) results for KMo2Ru after structural relaxation.

a = 4.8623 Å, b = 4.8623 Å, c = 7.0334 Å
α = 81.22°, β = 81.22°, γ = 35.63°
Element x y z (fractional)
Mo 0.0419 0.0419 0.8833
Mo 0.7429 0.7429 0.7424
K 0.2468 0.2468 0.2566
Ru 0.4685 0.4685 0.6177

Summary:
E = -7.066 eV/atom
calculated formation energy = 0.94 eV/atom
space group = Cm (8)
total moment = 0.000 μB per formula unit


Record 2
DFT (PBE) results for FeMoCl2 after structural relaxation.

a = 2.9412 Å, b = 2.9412 Å, c = 8.4119 Å
α = 90.00°, β = 90.00°, γ = 90.00°
Element x y z (fractional)
Cl 0.5000 0.5000 0.3443
Cl 0.0000 0.0000 0.9156
Mo 0.5000 0.5000 0.7251
Fe 0.0000 0.0000 0.5150

Summary:
E = -5.788 eV/atom
E_form (uncorrected) = -0.041 eV per atom
space group = P4mm (99)
total moment = 1.929 μB per formula unit


Record 3
DFT (PBE) results for TaAs2P after structural relaxation.

a = 4.6118 Å, b = 4.6118 Å, c = 3.2704 Å
α = 90.00°, β = 90.00°, γ = 105.59°
Element x y z (fractional)
Ta 0.0000 0.5000 0.5000
P 0.5000 0.0000 0.5000
As 0.0000 0.0000 0.0000
As 0.5000 0.5000 0.0000

Summary:
E = -6.354 eV/atom
calculated formation energy = 0.29 eV/atom
space group = Cmmm (65)
total moment = 0.000 μB per formula unit


Record 4
DFT (PBE) results for Tl3Sb5 after structural relaxation.

a = 9.9828 Å, b = 9.9828 Å, c = 6.1259 Å
α = 90.00°, β = 90.00°, γ = 120.00°
Element x y z (fractional)
Tl 0.0000 0.5931 0.2500
Tl 0.5931 0.5931 0.7500
Tl 0.0000 0.4069 0.7500
Tl 0.4069 0.4069 0.2500
Tl 0.4069 0.0000 0.7500
Tl 0.5931 0.0000 0.2500
Sb 0.3333 0.6667 0.5000
Sb 0.6667 0.3333 0.0000
Sb 0.8306 0.8306 0.2500
Sb 0.1694 0.1694 0.7500
Sb 0.8306 0.0000 0.7500
Sb 0.3333 0.6667 0.0000
Sb 0.6667 0.3333 0.5000
Sb 0.0000 0.8306 0.7500
Sb 0.1694 0.0000 0.2500
Sb 0.0000 0.1694 0.2500

Summary:
E = -3.289 eV/atom
E_form (uncorrected) = 0.175 eV per atom
space group = P6_3/mcm (193)
total moment = 0.000 μB per formula unit


Which formula does entry 1 have?
KMo2Ru


What is the total moment in the first record?
0.000 μB per formula unit


Which of these has the lowest E?
KMo2Ru